Density functional theory data (PBE-GGA) for a geometry-optimized NaLiSiF6 structure.

Lattice parameters (Å, degrees): 4.8562 5.0298 5.0298 120.00 90.00 90.00
Last column: nearest neighbours and their distance in Å.
Element x y z (fractional)
Na 0.0000 0.3333 0.6667  6 F 2.36
Li 0.5000 0.6667 0.3333  6 F 2.04
Si 0.5000 0.0000 0.0000  6 F 1.72
F 0.7019 0.7249 0.7139  1 Si 1.72
F 0.7019 0.2861 0.0110  1 Si 1.72
F 0.7019 0.9890 0.2751  1 Si 1.72
F 0.2981 0.2861 0.2751  1 Si 1.72
F 0.2981 0.7249 0.0110  1 Si 1.72
F 0.2981 0.9890 0.7139  1 Si 1.72

Calculated values
Volume (Å³/atom): 11.822
DOS(E_F) (states/eV/atom): 0.000
DFT total energy (eV per cell): -47.883